1.
Density functional theory data (PBE) for an optimized crystal structure of TbSm4ErSe8.

Cell and atoms, written as extended XYZ:
```
14
Lattice="-4.7551 6.8287 1.9120 -3.7153 0.6048 7.6635 2.8178 5.7117 5.6715" Properties=species:S:1:pos:R:3 pbc="T T T"
Sm -0.4399 3.1694 6.6499
Sm -4.9329 5.3649 6.6975
Sm -0.9552 6.2538 3.7996
Sm 1.4013 2.8697 2.8520
Se -5.7326 7.1057 8.7259
Se 0.0612 6.0858 6.5747
Se -3.1797 3.4396 7.6994
Se -2.4253 9.6566 7.5745
Se -3.7380 6.7811 4.6116
Se -4.3657 9.7865 11.3797
Se -1.3473 3.3241 3.8407
Se -1.8816 6.4020 10.5820
Er -0.7191 7.7806 8.5497
Tb 2.8011 5.7022 5.6642
```

Output
E (eV per atom): -5.7183
Formation energy from raw total energies (eV per formula unit): -24.1

***

2.
Density functional theory data (PBE) for an optimized crystal structure of SiB2Br.

Cell and atoms, written as extended XYZ:
```
8
Lattice="-0.4355 1.6304 2.9465 -3.8016 1.1935 -1.2066 -4.5498 -7.8459 5.5569" Properties=species:S:1:pos:R:3 pbc="T T T"
B -4.6437 -1.6106 2.7224
B -2.9984 -2.1171 2.2583
B -4.8607 -0.7959 4.1758
B -2.3139 -3.5234 3.1231
Br -5.8343 -4.3140 5.0177
Br -0.9426 0.8823 2.8610
Si -6.2613 -2.4218 3.9024
Si -2.2151 -0.8052 3.6051
```

Output
E (eV per atom): -5.0629
Formation energy from raw total energies (eV per formula unit): 0.2

***

3.
Density functional theory data (PBE) for an optimized crystal structure of In2Pd2Pt3.

Cell and atoms, written as extended XYZ:
```
7
Lattice="4.0630 0.0000 0.0000 0.0000 6.5595 0.6784 -2.0315 -1.1479 4.3058" Properties=species:S:1:pos:R:3 pbc="T T T"
Pt 0.0000 0.0000 0.0000
Pt 0.0000 4.9419 3.0167
Pt 2.0315 0.4697 1.9676
In 2.0315 4.5846 1.1478
In 0.0000 0.8270 3.8364
Pd 0.0000 2.4618 1.4938
Pd 2.0315 2.9497 3.4905
```

Output
E (eV per atom): -5.2209

***

Number 2 is which compound? SiB2Br